[1]
# PrSmMgAg | Alexandria | PBE | optimized geometry
data_PrSmMgAg
_chemical_formula_sum 'Pr1 Sm1 Mg1 Ag1'
_space_group_name_H-M_alt 'P 4 m m'
_space_group_IT_number 99
_cell_length_a 3.843
_cell_length_b 3.843
_cell_length_c 7.461
_cell_angle_alpha 90.00
_cell_angle_beta 90.00
_cell_angle_gamma 90.00
loop_
_space_group_symop_operation_xyz
'x,y,z'
'-y,x,z'
'-x,-y,z'
'y,-x,z'
'-x,y,z'
'y,x,z'
'x,-y,z'
'-y,-x,z'
loop_
_atom_site_label
_atom_site_type_symbol
_atom_site_fract_x
_atom_site_fract_y
_atom_site_fract_z
Pr1 Pr 0.000 0.000 0.000
Sm1 Sm 0.000 0.000 0.485
Mg1 Mg 0.500 0.500 0.737
Ag1 Ag 0.500 0.500 0.256
# energy above the lowest structure with this stoichiometry: 0.0000 eV per atom
# total magnetization: 0.003 μB/cell
# crystal system: tetragonal


[2]
# RbAsCl2 | Alexandria | PBE | optimized geometry
data_RbAsCl2
_chemical_formula_sum 'Rb3 As3 Cl6'
_space_group_name_H-M_alt 'R -3 m'
_space_group_IT_number 166
_space_group_name_Hall '-R 3 2"'
_cell_length_a 3.9963
_cell_length_b 3.9963
_cell_length_c 27.8826
_cell_angle_alpha 90.00
_cell_angle_beta 90.00
_cell_angle_gamma 120.00
loop_
_atom_site_label
_atom_site_type_symbol
_atom_site_fract_x
_atom_site_fract_y
_atom_site_fract_z
Rb1 Rb 0.0000 0.0000 0.0000
As1 As 0.0000 0.0000 0.5000
Cl1 Cl 0.0000 0.0000 0.4115
# energy above the lowest structure with this stoichiometry: 0.0000 eV per atom
# formation energy without anion corrections: -0.7183 eV/atom
# total magnetization: 0.000 μB/cell
# crystal system: trigonal


[3]
# BaMnAs | Alexandria | PBE | optimized geometry
data_BaMnAs
_chemical_formula_sum 'Ba4 Mn4 As4'
_space_group_name_H-M_alt 'C 1 2/m 1'
_space_group_IT_number 12
_cell_length_a 12.515
_cell_length_b 4.295
_cell_length_c 6.385
_cell_angle_alpha 90.00
_cell_angle_beta 104.92
_cell_angle_gamma 90.00
loop_
_space_group_symop_operation_xyz
'x,y,z'
'-x,-y,-z'
'-x,y,-z'
'x,-y,z'
'x+1/2,y+1/2,z'
'-x+1/2,-y+1/2,-z'
'-x+1/2,y+1/2,-z'
'x+1/2,-y+1/2,z'
loop_
_atom_site_label
_atom_site_type_symbol
_atom_site_fract_x
_atom_site_fract_y
_atom_site_fract_z
Ba1 Ba 0.101 0.000 0.314
Mn1 Mn 0.216 0.000 0.882
As1 As 0.129 0.500 0.779
# total magnetization: 12.449 μB/cell
# crystal system: monoclinic
# energy: -68.2 eV for the cell shown


[4]
# LaTePdN2 | Alexandria | PBE | optimized geometry
data_LaTePdN2
_chemical_formula_sum 'La1 Te1 Pd1 N2'
_space_group_name_H-M_alt 'P 4/m m m'
_space_group_IT_number 123
_space_group_name_Hall '-P 4 2'
_cell_length_a 4.351
_cell_length_b 4.351
_cell_length_c 5.155
_cell_angle_alpha 90.00
_cell_angle_beta 90.00
_cell_angle_gamma 90.00
loop_
_atom_site_label
_atom_site_type_symbol
_atom_site_fract_x
_atom_site_fract_y
_atom_site_fract_z
La1 La 0.000 0.000 0.000
Te1 Te 0.500 0.500 0.000
Pd1 Pd 0.500 0.500 0.500
N1 N 0.000 0.500 0.500
# energy above the lowest structure with this stoichiometry: 0.0000 eV per atom
# formation energy without anion corrections: 0.5920 eV/atom
# total magnetization: 1.961 μB/cell
# crystal system: tetragonal


[5]
# Sc2ReB | Alexandria | PBE | optimized geometry
data_Sc2ReB
_chemical_formula_sum 'Sc4 Re2 B2'
_space_group_name_H-M_alt 'A m m 2'
_space_group_IT_number 38
_cell_length_a 3.286
_cell_length_b 3.586
_cell_length_c 11.437
_cell_angle_alpha 90.00
_cell_angle_beta 90.00
_cell_angle_gamma 90.00
loop_
_space_group_symop_operation_xyz
'x,y,z'
'-x,-y,z'
'-x,y,z'
'x,-y,z'
'x,y+1/2,z+1/2'
'-x,-y+1/2,z+1/2'
'-x,y+1/2,z+1/2'
'x,-y+1/2,z+1/2'
loop_
_atom_site_label
_atom_site_type_symbol
_atom_site_fract_x
_atom_site_fract_y
_atom_site_fract_z
Sc1 Sc 0.000 0.000 0.000
Sc2 Sc 0.000 0.000 0.270
Re1 Re 0.500 0.000 0.638
B1 B 0.500 0.000 0.816
# total magnetization: 0.000 μB/cell
# crystal system: orthorhombic
# energy: -63.8 eV for the cell shown


[6]
# Rb2CoAg2 | Alexandria | PBE | optimized geometry
data_Rb2CoAg2
_chemical_formula_sum 'Rb4 Co2 Ag4'
_space_group_name_H-M_alt 'P 4/m b m'
_space_group_IT_number 127
_space_group_name_Hall '-P 4 2ab'
_cell_length_a 7.094
_cell_length_b 7.094
_cell_length_c 5.734
_cell_angle_alpha 90.00
_cell_angle_beta 90.00
_cell_angle_gamma 90.00
loop_
_atom_site_label
_atom_site_type_symbol
_atom_site_fract_x
_atom_site_fract_y
_atom_site_fract_z
Rb1 Rb 0.178 0.322 0.000
Co1 Co 0.000 0.000 0.500
Ag1 Ag 0.145 0.645 0.500
# total magnetization: 2.724 μB/cell
# crystal system: tetragonal
# energy: -23.8 eV for the cell shown


[7]
# La2TlAgRu | Alexandria | PBE | optimized geometry
data_La2TlAgRu
_chemical_formula_sum 'La4 Tl2 Ag2 Ru2'
_space_group_name_H-M_alt 'P 1 21/m 1'
_space_group_IT_number 11
_cell_length_a 8.158
_cell_length_b 4.182
_cell_length_c 8.452
_cell_angle_alpha 90.00
_cell_angle_beta 110.35
_cell_angle_gamma 90.00
loop_
_space_group_symop_operation_xyz
'x,y,z'
'-x,-y,-z'
'-x,y+1/2,-z'
'x,-y+1/2,z'
loop_
_atom_site_label
_atom_site_type_symbol
_atom_site_fract_x
_atom_site_fract_y
_atom_site_fract_z
La1 La 0.034 0.250 0.244
La2 La 0.350 0.750 0.624
Tl1 Tl 0.331 0.250 0.961
Ag1 Ag 0.323 0.750 0.211
Ru1 Ru 0.111 0.250 0.623
# energy above the lowest structure with this stoichiometry: 0.0000 eV per atom
# total magnetization: 0.000 μB/cell
# crystal system: monoclinic


[8]
# AcCdAu | Alexandria | PBE | optimized geometry
data_AcCdAu
_chemical_formula_sum 'Ac2 Cd2 Au2'
_space_group_name_H-M_alt 'I 4 m m'
_space_group_IT_number 107
_space_group_name_Hall 'I 4 -2'
_cell_length_a 3.972
_cell_length_b 3.972
_cell_length_c 10.576
_cell_angle_alpha 90.00
_cell_angle_beta 90.00
_cell_angle_gamma 90.00
loop_
_atom_site_label
_atom_site_type_symbol
_atom_site_fract_x
_atom_site_fract_y
_atom_site_fract_z
Ac1 Ac 0.000 0.000 0.000
Cd1 Cd 0.000 0.000 0.309
Au1 Au 0.000 0.000 0.672
# energy above the lowest structure with this stoichiometry: 0.1841 eV per atom
# total magnetization: 0.000 μB/cell
# crystal system: tetragonal


[9]
# Sc2SbAs | Alexandria | PBE | optimized geometry
data_Sc2SbAs
_chemical_formula_sum 'Sc4 Sb2 As2'
_space_group_name_H-M_alt 'A m m 2'
_space_group_IT_number 38
_cell_length_a 4.170
_cell_length_b 3.872
_cell_length_c 11.250
_cell_angle_alpha 90.00
_cell_angle_beta 90.00
_cell_angle_gamma 90.00
loop_
_space_group_symop_operation_xyz
'x,y,z'
'-x,-y,z'
'-x,y,z'
'x,-y,z'
'x,y+1/2,z+1/2'
'-x,-y+1/2,z+1/2'
'-x,y+1/2,z+1/2'
'x,-y+1/2,z+1/2'
loop_
_atom_site_label
_atom_site_type_symbol
_atom_site_fract_x
_atom_site_fract_y
_atom_site_fract_z
Sc1 Sc 0.000 0.000 0.000
Sc2 Sc 0.500 0.000 0.254
Sb1 Sb 0.500 0.000 0.520
As1 As 0.000 0.000 0.761
# formation energy without anion corrections: -0.9264 eV/atom
# total magnetization: 0.000 μB/cell
# crystal system: orthorhombic